1.
A plane-wave DFT calculation with PBE-GGA was carried out for a geometry-optimized Ac15La4Tl structure.

- calculated formation energy (eV/atom) = -0.01
- calculated density (g/cm3) = 8.19

Cell lengths 5.5185, 5.5185, 27.7384 Å; angles 90.00, 90.00, 90.00 degrees
Space group P4/mmm (No. 123)
Symmetry-distinct sites (fractional):
Ac1 0.0000 0.0000 0.0000 [1 per cell]
Ac2 0.0000 0.0000 0.1976 [2 per cell]
Ac3 0.0000 0.0000 0.3989 [2 per cell]
Ac4 0.0000 0.5000 0.0969 [4 per cell]
Ac5 0.0000 0.5000 0.2977 [4 per cell]
Ac6 0.0000 0.5000 0.5000 [2 per cell]
La1 0.5000 0.5000 0.1974 [2 per cell]
La2 0.5000 0.5000 0.3999 [2 per cell]
Tl1 0.5000 0.5000 0.0000 [1 per cell]

***

2.
A plane-wave DFT calculation with PBE-GGA was carried out for a geometry-optimized Be2CrSi structure.

- formation energy (no corrections) (meV/atom) = -14
- calculated density (g/cm3) = 3.92

Cell lengths 2.4688, 3.8649, 4.3574 Å; angles 90.00, 90.00, 90.00 degrees
Space group Pmmm (No. 47)
Symmetry-distinct sites (fractional):
Be1 0.0000 0.0000 0.2297 [2 per cell]
Cr1 0.5000 0.5000 0.0000 [1 per cell]
Si1 0.0000 0.5000 0.5000 [1 per cell]